[1]
A plane-wave DFT calculation with PBE-GGA was carried out for Ga3GeCl after structural relaxation.

```
5
Lattice="5.1776 0.0000 0.0000 0.0000 5.1776 0.0000 0.0000 0.0000 5.1776" Properties=species:S:1:pos:R:3 pbc="T T T"
Ga 0.0000 0.0000 2.5888
Ga 0.0000 2.5888 0.0000
Ga 2.5888 0.0000 0.0000
Ge 2.5888 2.5888 2.5888
Cl 0.0000 0.0000 0.0000
```

Calculated values
Formation energy from raw total energies, eV per atom: 0.465
Excess energy over the best structure of this formula in the dataset, meV per atom: 318.9
ρ, g cm⁻³: 3.80
Fermi-level density of states, states/eV per atom: 0.558
SG: Pm-3m (221)
Final energy, eV/atom: -2.644
Size of the total moment, μB/f.u.: 0.0

[2]
A plane-wave DFT calculation with PBE-GGA was carried out for HfAl2CuS after structural relaxation.

```
5
Lattice="5.3826 0.0000 0.0000 0.0000 5.3826 0.0000 0.0000 0.0000 4.8188" Properties=species:S:1:pos:R:3 pbc="T T T"
Hf 0.0000 0.0000 0.0000
Al 0.0000 2.6913 0.0000
Al 2.6913 0.0000 0.0000
Cu 0.0000 0.0000 2.4094
S 2.6913 2.6913 2.4094
```

Calculated values
Formation energy from raw total energies, eV per atom: 1.266
ρ, g cm⁻³: 3.90
Fermi-level density of states, states/eV per atom: 0.814
SG: P4/mmm (123)
Final energy, eV/atom: -3.867
Size of the total moment, μB/f.u.: 0.0

[3]
A plane-wave DFT calculation with PBE-GGA was carried out for TcSbRh3 after structural relaxation.

```
5
Lattice="4.6859 0.0000 0.0000 0.0000 4.6859 0.0000 0.0000 0.0000 4.6859" Properties=species:S:1:pos:R:3 pbc="T T T"
Tc 0.0000 0.0000 0.0000
Sb 2.3429 2.3429 2.3429
Rh 0.0000 0.0000 2.3429
Rh 0.0000 2.3429 0.0000
Rh 2.3429 0.0000 0.0000
```

Calculated values
Formation energy from raw total energies, eV per atom: 0.992
ρ, g cm⁻³: 8.53
Fermi-level density of states, states/eV per atom: 1.026
SG: Pm-3m (221)
Final energy, eV/atom: -6.317
Size of the total moment, μB/f.u.: 0.0

[4]
A plane-wave DFT calculation with PBE-GGA was carried out for NaN2OF after structural relaxation.

```
5
Lattice="3.7915 0.0000 0.0000 0.0000 3.7915 0.0000 0.0000 0.0000 5.0131" Properties=species:S:1:pos:R:3 pbc="T T T"
Na 0.0000 0.0000 0.0000
N 0.0000 1.8957 2.5065
N 1.8957 0.0000 2.5065
O 1.8957 1.8957 0.0000
F 1.8957 1.8957 2.5065
```

Calculated values
Formation energy from raw total energies, eV per atom: 1.784
ρ, g cm⁻³: 1.98
Fermi-level density of states, states/eV per atom: 0.863
SG: P4/mmm (123)
Final energy, eV/atom: -3.176
Size of the total moment, μB/f.u.: 2.8

[5]
A plane-wave DFT calculation with PBE-GGA was carried out for YAg2SbRh after structural relaxation.

```
5
Lattice="5.0611 0.0000 0.0000 0.0000 5.0611 0.0000 0.0000 0.0000 4.9406" Properties=species:S:1:pos:R:3 pbc="T T T"
Y 0.0000 0.0000 0.0000
Ag 0.0000 2.5305 2.4703
Ag 2.5305 0.0000 2.4703
Sb 2.5305 2.5305 2.4703
Rh 2.5305 2.5305 0.0000
```

Calculated values
Formation energy from raw total energies, eV per atom: 0.255
ρ, g cm⁻³: 6.95
Fermi-level density of states, states/eV per atom: 0.550
SG: P4/mmm (123)
Final energy, eV/atom: -4.473
Size of the total moment, μB/f.u.: 0.0

[6]
A plane-wave DFT calculation with PBE-GGA was carried out for Tb8Pr3Th after structural relaxation.

```
12
Lattice="-4.4154 4.4154 5.7050 4.4154 -4.4154 5.7050 4.4154 4.4154 -5.7050" Properties=species:S:1:pos:R:3 pbc="T T T"
Tb 3.3230 3.3230 -2.8517
Tb 2.1643 2.1643 -0.0882
Tb 2.2510 -2.2510 5.7932
Tb 1.0924 1.0924 2.8534
Tb 1.0924 -1.0924 8.5567
Tb 2.2510 2.2510 5.6168
Tb -2.2510 2.2510 5.7932
Tb -1.0924 1.0924 8.5567
Pr 0.0000 0.0000 0.0000
Pr 4.4154 0.0000 2.8525
Pr 0.0000 4.4154 2.8525
Th 0.0000 0.0000 5.7050
```

Calculated values
ρ, g cm⁻³: 7.19
DFT formation energy, eV/atom: 0.615
Fermi-level density of states, states/eV per atom: 1.518
SG: I-42m (121)
Final energy, eV/atom: -4.285
Size of the total moment, μB/f.u.: 0.0

[7]
A plane-wave DFT calculation with PBE-GGA was carried out for BOs3C after structural relaxation.

```
5
Lattice="3.9802 0.0000 0.0000 0.0000 3.9802 0.0000 0.0000 0.0000 3.9802" Properties=species:S:1:pos:R:3 pbc="T T T"
B 0.0000 0.0000 0.0000
Os 0.0000 1.9901 1.9901
Os 1.9901 0.0000 1.9901
Os 1.9901 1.9901 0.0000
C 1.9901 1.9901 1.9901
```

Calculated values
Excess energy over the best structure of this formula in the dataset, meV per atom: 0.0
ρ, g cm⁻³: 15.63
DFT formation energy, eV/atom: 1.268
Fermi-level density of states, states/eV per atom: 0.796
SG: Pm-3m (221)
Final energy, eV/atom: -8.650
Size of the total moment, μB/f.u.: 0.6

[8]
A plane-wave DFT calculation with PBE-GGA was carried out for LaCr4I2 after structural relaxation.

```
14
Lattice="5.1791 0.0000 0.0000 0.0000 5.1791 0.0000 0.0000 0.0000 15.5837" Properties=species:S:1:pos:R:3 pbc="T T T"
La 0.0000 0.0000 0.0000
La 2.5896 2.5896 7.7918
Cr 0.0000 0.0000 3.1978
Cr 0.0000 0.0000 12.3859
Cr 0.0000 2.5896 0.0000
Cr 0.0000 2.5896 7.7918
Cr 2.5896 0.0000 0.0000
Cr 2.5896 0.0000 7.7918
Cr 2.5896 2.5896 4.5941
Cr 2.5896 2.5896 10.9896
I 0.0000 0.0000 6.0364
I 0.0000 0.0000 9.5472
I 2.5896 2.5896 1.7554
I 2.5896 2.5896 13.8283
```

Calculated values
Formation energy from raw total energies, eV per atom: 1.361
ρ, g cm⁻³: 4.77
Fermi-level density of states, states/eV per atom: 0.775
SG: I4/mmm (139)
Final energy, eV/atom: -5.285
Size of the total moment, μB/f.u.: 4.0

What is the Fermi-level density of states in the sixth record?
1.518 states/eV per atom